w) Computed, not measured: an optimized crystal structure of RePd3O at the GGA-PBE level of DFT.

Unit cell a=4.775 b=4.775 c=4.775 alpha=90.00 beta=90.00 gamma=90.00
Element x y z (fractional)
Re1 0.000 0.000 0.000
O1 0.500 0.500 0.500
Pd1 0.000 0.500 0.000
Pd2 0.000 0.000 0.500
Pd3 0.500 0.000 0.000

Results
* symmetry: Pm-3m, No. 221
* volume: 108.9 Å³/cell
* density of states at the Fermi level: 6.27 states/eV/f.u.

=====

x) Computed, not measured: an optimized crystal structure of RePd3O at the GGA-PBE level of DFT.

Unit cell a=4.201 b=4.201 c=4.201 alpha=90.00 beta=90.00 gamma=90.00
Last column: magnetic moment on the atom in μB.
Element x y z (fractional)
Re1 0.500 0.500 0.500  2.31
O1 0.000 0.000 0.000  -0.02
Pd1 0.000 0.500 0.000  0.12
Pd2 0.000 0.000 0.500  0.14
Pd3 0.500 0.000 0.000  0.16

Results
* symmetry: Pm-3m, No. 221
* volume: 74.2 Å³/cell
* density of states at the Fermi level: 3.74 states/eV/f.u.

=====

How do the energies compare? Relative to the most stable structure, in eV/atom: w) 1.032; x) 0.000.

=====

w) Computed, not measured: an optimized crystal structure of RePdO2 at the GGA-PBE level of DFT.

Unit cell a=7.065 b=7.065 c=7.065 alpha=22.60 beta=22.60 gamma=22.60
Element x y z (fractional)
Re1 0.500 0.500 0.500
O1 0.899 0.899 0.899
O2 0.101 0.101 0.101
Pd1 0.000 0.000 0.000

Results
* symmetry: R-3m, No. 166
* volume: 45.7 Å³/cell
* density of states at the Fermi level: 2.40 states/eV/f.u.

=====

x) Computed, not measured: an optimized crystal structure of RePdO2 at the GGA-PBE level of DFT.

Unit cell a=3.930 b=3.930 c=3.930 alpha=60.00 beta=60.00 gamma=60.00
Element x y z (fractional)
Re1 0.500 0.500 0.500
O1 0.250 0.250 0.250
O2 0.750 0.750 0.750
Pd1 0.000 0.000 0.000

Results
* symmetry: Fm-3m, No. 225
* volume: 42.9 Å³/cell
* density of states at the Fermi level: 3.01 states/eV/f.u.

=====

y) Computed, not measured: an optimized crystal structure of RePdO2 at the GGA-PBE level of DFT.

Unit cell a=4.066 b=4.066 c=6.800 alpha=72.60 beta=72.60 gamma=90.00
Element x y z (fractional)
Re1 0.000 0.000 0.000
Re2 0.750 0.250 0.500
O1 0.701 0.125 0.250
O2 0.049 0.625 0.250
O3 0.375 0.299 0.750
O4 0.875 0.951 0.750
Pd1 0.500 0.500 0.000
Pd2 0.250 0.750 0.500

Results
* symmetry: I-42d, No. 122
* volume: 101.9 Å³/cell
* density of states at the Fermi level: 4.50 states/eV/f.u.

=====

How do the energies compare? Relative to the most stable structure, in eV/atom: w) 0.000; x) 1.109; y) 0.440.

=====

w) Computed, not measured: an optimized crystal structure of PdS3O at the GGA-PBE level of DFT.

Unit cell a=4.630 b=4.630 c=4.630 alpha=90.00 beta=90.00 gamma=90.00
Element x y z (fractional)
S1 0.000 0.500 0.000
S2 0.000 0.000 0.500
S3 0.500 0.000 0.000
O1 0.500 0.500 0.500
Pd1 0.000 0.000 0.000

Results
* symmetry: Pm-3m, No. 221
* volume: 99.3 Å³/cell
* density of states at the Fermi level: 10.22 states/eV/f.u.

=====

x) Computed, not measured: an optimized crystal structure of PdS3O at the GGA-PBE level of DFT.

Unit cell a=4.220 b=4.220 c=4.220 alpha=90.00 beta=90.00 gamma=90.00
Element x y z (fractional)
S1 0.000 0.500 0.000
S2 0.000 0.000 0.500
S3 0.500 0.000 0.000
O1 0.000 0.000 0.000
Pd1 0.500 0.500 0.500

Results
* symmetry: Pm-3m, No. 221
* volume: 75.2 Å³/cell
* density of states at the Fermi level: 6.97 states/eV/f.u.

=====

How do the energies compare? Relative to the most stable structure, in eV/atom: w) 0.392; x) 0.000.

=====

w) Computed, not measured: an optimized crystal structure of SbPd2O2 at the GGA-PBE level of DFT.

Unit cell a=4.447 b=4.447 c=4.768 alpha=62.20 beta=62.20 gamma=90.00
Element x y z (fractional)
Sb1 0.000 0.000 0.000
O1 0.398 0.398 0.203
O2 0.602 0.602 0.797
Pd1 0.750 0.250 0.500
Pd2 0.250 0.750 0.500

Results
* symmetry: I4/mmm, No. 139
* volume: 70.9 Å³/cell
* density of states at the Fermi level: 2.25 states/eV/f.u.

=====

x) Computed, not measured: an optimized crystal structure of SbPd2O2 at the GGA-PBE level of DFT.

Unit cell a=5.899 b=5.899 c=4.314 alpha=90.00 beta=90.00 gamma=90.00
Element x y z (fractional)
Sb1 0.000 0.000 0.000
Sb2 0.500 0.500 0.000
O1 0.184 0.684 0.000
O2 0.684 0.816 0.000
O3 0.816 0.316 0.000
O4 0.316 0.184 0.000
Pd1 0.175 0.675 0.500
Pd2 0.675 0.825 0.500
Pd3 0.825 0.325 0.500
Pd4 0.325 0.175 0.500

Results
* symmetry: P4/mbm, No. 127
* volume: 150.1 Å³/cell
* density of states at the Fermi level: 1.84 states/eV/f.u.

=====

How do the energies compare? Relative to the most stable structure, in eV/atom: w) 0.426; x) 0.000.

=====

w) Computed, not measured: an optimized crystal structure of Pd3SeO at the GGA-PBE level of DFT.

Unit cell a=4.661 b=4.661 c=4.661 alpha=90.00 beta=90.00 gamma=90.00
Element x y z (fractional)
O1 0.500 0.500 0.500
Se1 0.000 0.000 0.000
Pd1 0.000 0.500 0.000
Pd2 0.000 0.000 0.500
Pd3 0.500 0.000 0.000

Results
* symmetry: Pm-3m, No. 221
* volume: 101.3 Å³/cell
* density of states at the Fermi level: 5.33 states/eV/f.u.

=====

x) Computed, not measured: an optimized crystal structure of Pd3SeO at the GGA-PBE level of DFT.

Unit cell a=7.471 b=7.427 c=6.893 alpha=114.70 beta=90.00 gamma=90.00
Element x y z (fractional)
Pd1 0.930 0.816 0.373
Pd2 0.070 0.184 0.627
Pd3 0.430 0.184 0.127
Pd4 0.570 0.816 0.873
Pd5 0.570 0.816 0.373
Pd6 0.430 0.184 0.627
Pd7 0.070 0.184 0.127
Pd8 0.930 0.816 0.873
Pd9 0.250 0.617 0.612
Pd10 0.750 0.383 0.388
Pd11 0.750 0.383 0.888
Pd12 0.250 0.617 0.112
Se1 0.250 0.866 0.476
Se2 0.750 0.134 0.524
Se3 0.750 0.134 0.024
Se4 0.250 0.866 0.976
O1 0.750 0.581 0.232
O2 0.250 0.419 0.768
O3 0.250 0.419 0.268
O4 0.750 0.581 0.732

Results
* symmetry: P2_1/m, No. 11
* volume: 347.4 Å³/cell
* density of states at the Fermi level: 2.98 states/eV/f.u.

=====

How do the energies compare? Relative to the most stable structure, in eV/atom: w) 0.876; x) 0.000.

=====

w) Computed, not measured: an optimized crystal structure of PdSeO4 at the GGA-PBE level of DFT.

Unit cell a=5.113 b=5.113 c=7.941 alpha=83.66 beta=83.66 gamma=76.61
Element x y z (fractional)
Pd1 0.000 0.500 0.500
Pd2 0.500 0.000 0.000
Se1 0.931 0.069 0.250
Se2 0.069 0.931 0.750
O1 0.111 0.253 0.711
O2 0.798 0.242 0.422
O3 0.202 0.758 0.578
O4 0.253 0.111 0.211
O5 0.747 0.889 0.789
O6 0.758 0.202 0.078
O7 0.242 0.798 0.922
O8 0.889 0.747 0.289

Results
* symmetry: C2/c, No. 15
* volume: 200.0 Å³/cell

=====

x) Computed, not measured: an optimized crystal structure of PdSeO4 at the GGA-PBE level of DFT.

Unit cell a=6.511 b=6.476 c=5.754 alpha=124.25 beta=124.45 gamma=90.00
Element x y z (fractional)
Pd1 0.000 0.500 0.000
Pd2 0.000 0.000 0.000
Se1 0.441 0.691 0.883
Se2 0.559 0.309 0.117
O1 0.788 0.232 0.964
O2 0.705 0.239 0.411
O3 0.295 0.761 0.589
O4 0.295 0.328 0.589
O5 0.824 0.768 0.036
O6 0.212 0.768 0.036
O7 0.705 0.672 0.411
O8 0.176 0.232 0.964

Results
* symmetry: Imma, No. 74
* volume: 146.2 Å³/cell
* density of states at the Fermi level: 1.80 states/eV/f.u.

=====

y) Computed, not measured: an optimized crystal structure of PdSeO4 at the GGA-PBE level of DFT.

Unit cell a=4.732 b=5.662 c=5.622 alpha=113.53 beta=90.00 gamma=90.00
Element x y z (fractional)
Pd1 0.000 0.500 0.500
Pd2 0.500 0.000 0.500
Se1 0.500 0.500 0.000
Se2 0.000 0.000 0.000
O1 0.300 0.838 0.145
O2 0.200 0.338 0.145
O3 0.685 0.641 0.336
O4 0.185 0.859 0.664
O5 0.815 0.141 0.336
O6 0.315 0.359 0.664
O7 0.800 0.662 0.855
O8 0.700 0.162 0.855

Results
* symmetry: P2_1/c, No. 14
* volume: 138.1 Å³/cell
* density of states at the Fermi level: 1.46 states/eV/f.u.

=====

How do the energies compare? Relative to the most stable structure, in eV/atom: w) 0.000; x) 0.055; y) 0.102.

=====

w) Computed, not measured: an optimized crystal structure of PdSe2O6 at the GGA-PBE level of DFT.

Unit cell a=3.620 b=5.041 c=8.024 alpha=71.39 beta=76.96 gamma=68.96
Element x y z (fractional)
Pd1 0.000 0.500 0.500
Se1 0.204 0.805 0.787
Se2 0.796 0.195 0.213
O1 0.713 0.723 0.851
O2 0.287 0.277 0.149
O3 0.957 0.819 0.267
O4 0.360 0.694 0.585
O5 0.043 0.181 0.733
O6 0.640 0.306 0.415

Results
* symmetry: C2/m, No. 12
* volume: 128.5 Å³/cell
* density of states at the Fermi level: 3.00 states/eV/f.u.

=====

x) Computed, not measured: an optimized crystal structure of PdSe2O6 at the GGA-PBE level of DFT.

Unit cell a=5.638 b=6.658 c=6.658 alpha=99.55 beta=81.11 gamma=81.11
Element x y z (fractional)
Pd1 0.250 0.072 0.928
Pd2 0.750 0.928 0.072
Se1 0.309 0.527 0.785
Se2 0.191 0.215 0.473
Se3 0.691 0.473 0.215
Se4 0.809 0.785 0.527
O1 0.541 0.703 0.474
O2 0.959 0.526 0.297
O3 0.459 0.297 0.526
O4 0.041 0.474 0.703
O5 0.847 0.956 0.360
O6 0.653 0.640 0.044
O7 0.153 0.044 0.640
O8 0.347 0.360 0.956
O9 0.112 0.806 0.946
O10 0.388 0.054 0.194
O11 0.888 0.194 0.054
O12 0.612 0.946 0.806

Results
* symmetry: C2/c, No. 15
* volume: 239.3 Å³/cell

=====

How do the energies compare? Relative to the most stable structure, in eV/atom: w) 0.049; x) 0.000.

=====

w) Computed, not measured: an optimized crystal structure of SiPd2O at the GGA-PBE level of DFT.

Unit cell a=4.129 b=4.129 c=4.129 alpha=60.00 beta=60.00 gamma=60.00
Element x y z (fractional)
Si1 0.500 0.500 0.500
O1 0.000 0.000 0.000
Pd1 0.250 0.250 0.250
Pd2 0.750 0.750 0.750

Results
* symmetry: Fm-3m, No. 225
* volume: 49.8 Å³/cell
* density of states at the Fermi level: 0.02 states/eV/f.u.

=====

x) Computed, not measured: an optimized crystal structure of SiPd2O at the GGA-PBE level of DFT.

Unit cell a=5.158 b=5.158 c=6.262 alpha=65.68 beta=65.68 gamma=90.00
Element x y z (fractional)
Si1 0.000 0.000 0.000
Si2 0.750 0.250 0.500
O1 0.500 0.500 0.000
O2 0.250 0.750 0.500
Pd1 0.598 0.125 0.250
Pd2 0.152 0.625 0.250
Pd3 0.375 0.402 0.750
Pd4 0.875 0.848 0.750

Results
* symmetry: I-42d, No. 122
* volume: 135.4 Å³/cell
* density of states at the Fermi level: 2.09 states/eV/f.u.

=====

How do the energies compare? Relative to the most stable structure, in eV/atom: w) 0.000; x) 0.164.